An optimized crystal structure of KSbOs2. Source: Alexandria via LeMat-Bulk, functional GGA-PBE.

Summary:
formation energy without anion corrections	1.07	eV/atom
raw total energy	-5.850	eV per atom
total magnetic moment	0.00	μB per cell
crystal system	tetragonal
space group	No. 122

Structure (POSCAR):
```
KSbOs2
1.0
4.891 0.000 0.000
0.000 4.891 0.000
2.445 2.445 9.299
Sb K Os
2 2 4
Cartesian
0.000 0.000 0.000
4.891 2.445 4.649
2.445 2.445 0.000
2.445 4.891 4.649
5.059 1.223 2.325
4.722 3.668 2.325
3.668 2.276 6.974
6.113 2.614 6.974
```